# 1
Ce3Pm4PuSe8 | Alexandria | PBE | relaxed; space group = R-3m (166)
1.0
-5.2347 -5.6521 3.2745
0.1649 -4.3257 -7.2031
7.1614 1.8372 3.9201
Pm Se Ce Pu
4 8 3 1
Cartesian
-2.6174 -2.8260 1.6373
3.5807 0.9186 1.9600
0.9633 -1.9075 3.5973
0.0000 0.0000 0.0000
-0.2904 -4.4098 2.6235
2.3105 -1.5716 0.9810
5.9016 -0.6525 2.9216
-0.2190 -6.5691 -0.9895
-1.1747 -4.6427 -4.5787
3.2663 -3.4980 4.5701
2.3820 -3.7309 -2.6320
-3.8100 -7.4881 -2.9302
-2.5349 -4.9889 -1.9643
3.6631 -1.2443 -1.6415
1.0458 -4.0703 -0.0043
0.0824 -2.1629 -3.6015

***

# 2
CePm4Pu3Se8 | Alexandria | PBE | relaxed; space group = R-3m (166)
1.0
-3.9750 6.4884 -3.3897
-7.0452 -4.5329 -0.4150
3.9340 0.8714 7.2900
Ce Se Pm Pu
1 8 4 3
Cartesian
-3.5226 -2.2665 -0.2075
-4.7501 3.7210 -2.6234
-2.7972 4.1536 0.9953
-4.3093 2.3267 4.4262
-2.7769 0.5002 -0.9408
-6.2679 1.9117 0.7740
-0.8183 0.9151 2.7114
-2.3361 -0.8941 6.1088
-4.2890 -1.3267 2.4901
-0.0205 3.6799 1.9502
0.0000 0.0000 0.0000
1.9670 0.4357 3.6450
-1.9875 3.2442 -1.6949
-3.5431 1.4134 1.7427
-1.5556 -1.8308 3.4375
-5.5101 0.9777 -1.9023

***

# 3
CePm2PuSe4 | Alexandria | PBE | relaxed; space group = P2/m (10)
1.0
-1.8063 -2.3622 -2.9309
6.5689 -1.8180 -2.5833
-1.9846 -4.7600 5.0595
Se Pm Pu Ce
4 2 1 1
Cartesian
0.2566 -2.8220 -0.8577
0.1700 -4.0476 3.1574
4.4143 -2.5304 -0.6812
2.5214 -6.1181 0.4031
2.2922 -3.2890 1.2381
-1.8954 -3.5611 1.0643
2.3813 -2.0901 -2.7571
0.0000 0.0000 0.0000

***

Total magnetic moment for the records above, in order: 8.7; 18.3; 5.0 Bohr magnetons per cell
Formation energy from raw total energies for the records above, in order: -174; -168; -171 kJ/mol of atoms
E for the records above, in order: -6.741; -7.725; -7.231 eV/atom